First-principles (GGA-PBE) data for an optimized crystal structure of K4Pr3SnTe8, as listed in Alexandria via LeMat-Bulk.

Lattice parameters (Å, degrees): 9.2562 9.8322 9.2569 118.10 120.00 90.00
Closest atoms and distances in Å follow each position.
Element x y z (fractional)
K1 0.5000 0.0000 0.0000  6 Te 3.63
K2 0.5000 0.0000 0.5000  6 Te 3.55-3.56
K3 0.0000 0.0000 0.0000  6 Te 3.55-3.56
K4 0.0000 0.0000 0.5000  6 Te 3.55-3.56
Pr1 0.5000 0.5000 0.0000  6 Te 3.22
Pr2 0.5000 0.5000 0.5000  6 Te 3.22
Pr3 0.0000 0.5000 0.5000  6 Te 3.22
Sn1 0.0000 0.5000 0.0000  6 Te 3.13-3.14
Te1 0.2330 0.7108 0.9779  1 Sn 3.13, 2 Pr 3.22
Te2 0.2330 0.7108 0.4660  1 Sn 3.14, 2 Pr 3.22
Te3 0.2609 0.2827 0.5217  3 Pr 3.22, 3 K 3.55
Te4 0.7450 0.7108 0.9779  1 Sn 3.13, 2 Pr 3.22
Te5 0.2550 0.2892 0.0221  1 Sn 3.13, 2 Pr 3.22
Te6 0.7391 0.7173 0.4783  3 Pr 3.22, 3 K 3.55
Te7 0.7670 0.2892 0.5340  1 Sn 3.14, 2 Pr 3.22
Te8 0.7670 0.2892 0.0221  1 Sn 3.13, 2 Pr 3.22

Total moment, μB per formula unit: 0.0
Uncorrected energy, eV per atom: -4.1801
ΔE_f (raw), eV/atom: -1.189

First-principles (GGA-PBE) data for an optimized crystal structure of KPr2Sn3Te6, as listed in Alexandria via LeMat-Bulk.

Lattice parameters (Å, degrees): 4.5045 9.4250 10.3319 104.27 102.59 90.00
Closest atoms and distances in Å follow each position.
Element x y z (fractional)
K1 0.5000 0.0000 0.0000  6 Te 3.38-3.50
Pr1 0.8312 0.6544 0.6624  6 Te 3.18-3.28
Pr2 0.1688 0.3456 0.3376  6 Te 3.18-3.28
Sn1 0.5000 0.5000 0.0000  6 Te 3.14-3.24
Sn2 0.8421 0.1531 0.6842  6 Te 3.19-3.32
Sn3 0.1579 0.8469 0.3158  6 Te 3.19-3.32
Te1 0.3206 0.9000 0.6413  3 Sn 3.19-3.23, 2 Pr 3.28, 1 K 3.50
Te2 0.6662 0.5937 0.3325  3 Pr 3.23-3.26, 3 Sn 3.24-3.32
Te3 0.6794 0.1000 0.3587  3 Sn 3.19-3.23, 2 Pr 3.28, 1 K 3.50
Te4 0.0058 0.2707 0.0116  3 Sn 3.14-3.21, 1 Pr 3.18, 2 K 3.38
Te5 0.9942 0.7293 0.9884  3 Sn 3.14-3.21, 1 Pr 3.18, 2 K 3.38
Te6 0.3338 0.4063 0.6675  3 Pr 3.23-3.26, 3 Sn 3.24-3.32

Total moment, μB per formula unit: 0.0
Uncorrected energy, eV per atom: -4.2331
ΔE_f (raw), eV/atom: -0.773

First-principles (GGA-PBE) data for an optimized crystal structure of KSr2Pr, as listed in Alexandria via LeMat-Bulk.

Lattice parameters (Å, degrees): 4.0556 4.0556 12.5800 90.00 90.00 90.00
Closest atoms and distances in Å follow each position.
Element x y z (fractional)
Pr1 0.5000 0.5000 0.0000  8 Sr 3.94, 4 Pr 4.06
Sr1 0.0000 0.0000 0.7848  4 Pr 3.94, 4 Sr 4.06
Sr2 0.0000 0.0000 0.2152  4 Pr 3.94, 4 Sr 4.06
K1 0.5000 0.5000 0.5000  4 K 4.06

ΔE to the lowest computed polymorph, meV per atom: 0
Total moment, μB per formula unit: 0.0
Uncorrected energy, eV per atom: -2.1676
E_form, eV/atom: 0.1425

First-principles (GGA-PBE) data for an optimized crystal structure of KSr2Pr, as listed in Alexandria via LeMat-Bulk.

Lattice parameters (Å, degrees): 3.9486 3.9486 15.2113 82.54 82.54 60.00
Closest atoms and distances in Å follow each position.
Element x y z (fractional)
Pr1 0.0000 0.0000 0.0000  2 Sr 3.69, 6 Pr 3.95
Sr1 0.0817 0.0817 0.7549  1 Pr 3.69, 6 Sr 3.95
Sr2 0.9183 0.9183 0.2451  1 Pr 3.69, 6 Sr 3.95
K1 0.5000 0.5000 0.5000  6 K 3.95

ΔE to the lowest computed polymorph, meV per atom: 173
Total moment, μB per formula unit: 0.7
Uncorrected energy, eV per atom: -1.9951
E_form, eV/atom: 0.3150